{
  "formula": "Rb2Cd2In",
  "functional": "PBE",
  "state": "relaxed",
  "relative_energy_mev_per_atom": 0,
  "final_energy_ev_per_atom": -1.3683,
  "dos_at_fermi_per_ev_atom": 0.76,
  "rho_g_cm3": 4.34,
  "cell": [[-3.3583, 3.5094, -0.8489], [-4.4877, -3.4895, 3.3280], [5.5373, 2.7653, 3.8473]],
  "species": ["Cd", "Cd", "In", "Rb", "Rb"],
  "frac_coords": [[0.5000, 0.2616, 0.0000], [0.5000, 0.7384, 0.0000], [0.0000, 0.0000, 0.0000], [0.8009, 0.3009, 0.6018], [0.1991, 0.6991, 0.3982]]
}



{
  "formula": "TaPBr",
  "functional": "PBE",
  "state": "relaxed",
  "relative_energy_mev_per_atom": 1115,
  "final_energy_ev_per_atom": -5.5306,
  "dos_at_fermi_per_ev_atom": 1.02,
  "rho_g_cm3": 7.98,
  "raw_formation_energy_mev_per_atom": 781,
  "cell": [[4.4117, 0.0000, 0.0000], [2.2058, 3.8206, 0.0000], [2.2058, 1.2735, 3.6021]],
  "species": ["P", "Ta", "Br"],
  "frac_coords": [[0.2500, 0.2500, 0.2500], [0.0000, 0.0000, 0.0000], [0.5000, 0.5000, 0.5000]]
}



{
  "formula": "NbRh3Cl",
  "functional": "PBE",
  "state": "relaxed",
  "relative_energy_mev_per_atom": 0,
  "final_energy_ev_per_atom": -5.9979,
  "dos_at_fermi_per_ev_atom": 2.89,
  "rho_g_cm3": 8.55,
  "raw_formation_energy_mev_per_atom": 796,
  "cell": [[-2.5713, -1.3993, -3.2784], [-1.7099, -3.0627, 2.6484], [-3.1276, 2.8248, 1.2473]],
  "species": ["Rh", "Rh", "Rh", "Cl", "Nb"],
  "frac_coords": [[0.0000, 0.5000, 0.0000], [0.0000, 0.0000, 0.5000], [0.5000, 0.0000, 0.0000], [0.0000, 0.0000, 0.0000], [0.5000, 0.5000, 0.5000]]
}



{
  "formula": "ZnH2I",
  "functional": "PBE",
  "state": "relaxed",
  "relative_energy_mev_per_atom": 761,
  "final_energy_ev_per_atom": -1.4553,
  "dos_at_fermi_per_ev_atom": 0.68,
  "rho_g_cm3": 5.97,
  "cell": [[-0.4945, -1.3821, 3.9809], [-2.4618, 2.1532, 2.7029], [-3.7202, -1.6237, 1.2352]],
  "species": ["H", "H", "I", "Zn"],
  "frac_coords": [[0.2500, 0.2500, 0.2500], [0.7500, 0.7500, 0.7500], [0.5000, 0.5000, 0.5000], [0.0000, 0.0000, 0.0000]]
}



{
  "formula": "Rb3NaY",
  "functional": "PBE",
  "state": "relaxed",
  "relative_energy_mev_per_atom": 0,
  "final_energy_ev_per_atom": -1.4469,
  "dos_at_fermi_per_ev_atom": 0.90,
  "rho_g_cm3": 1.75,
  "cell": [[-2.3158, 5.8531, 3.1552], [-6.2152, -3.0929, 1.1760], [2.3635, -2.3983, 6.1838]],
  "species": ["Na", "Rb", "Rb", "Rb", "Y"],
  "frac_coords": [[0.0000, 0.0000, 0.0000], [0.0000, 0.0000, 0.5000], [0.0000, 0.5000, 0.0000], [0.5000, 0.0000, 0.0000], [0.5000, 0.5000, 0.5000]]
}



{
  "formula": "AcAs2Au4",
  "functional": "PBE",
  "state": "relaxed",
  "relative_energy_mev_per_atom": 0,
  "final_energy_ev_per_atom": -4.2171,
  "dos_at_fermi_per_ev_atom": 0.30,
  "rho_g_cm3": 12.83,
  "cell": [[4.4993, 0.0000, 0.0000], [0.0000, 8.1849, 0.0000], [0.0000, 0.0000, 8.1849]],
  "species": ["Au", "Au", "Au", "Au", "Au", "Au", "Au", "Au", "As", "As", "As", "As", "Ac", "Ac"],
  "frac_coords": [[0.5000, 0.8381, 0.4152], [0.0000, 0.9152, 0.6619], [0.5000, 0.1619, 0.5848], [0.5000, 0.4152, 0.8381], [0.5000, 0.5848, 0.1619], [0.0000, 0.0848, 0.3381], [0.0000, 0.6619, 0.9152], [0.0000, 0.3381, 0.0848], [0.5000, 0.7178, 0.7178], [0.5000, 0.2822, 0.2822], [0.0000, 0.7822, 0.2178], [0.0000, 0.2178, 0.7822], [0.5000, 0.0000, 0.0000], [0.0000, 0.5000, 0.5000]]
}



{
  "formula": "LiYTl2",
  "functional": "PBE",
  "state": "relaxed",
  "relative_energy_mev_per_atom": 161,
  "final_energy_ev_per_atom": -3.4467,
  "dos_at_fermi_per_ev_atom": 0.72,
  "rho_g_cm3": 8.00,
  "cell": [[-0.1830, -2.5433, 2.5826], [2.9366, -0.7886, 1.9815], [-1.4997, 5.2869, 7.6501]],
  "species": ["Li", "Tl", "Tl", "Y"],
  "frac_coords": [[0.4998, 0.4998, 0.5006], [0.0919, 0.0919, 0.7243], [0.2417, 0.2417, 0.2750], [0.6666, 0.6666, 0.0002]]
}



{
  "formula": "SrSbIr3",
  "functional": "PBE",
  "state": "relaxed",
  "relative_energy_mev_per_atom": 1697,
  "final_energy_ev_per_atom": -4.0410,
  "dos_at_fermi_per_ev_atom": 0.78,
  "rho_g_cm3": 10.65,
  "raw_formation_energy_mev_per_atom": 2436,
  "cell": [[4.9674, 0.0000, 0.0000], [0.0000, 4.9674, 0.0000], [0.0000, 0.0000, 4.9674]],
  "species": ["Ir", "Ir", "Ir", "Sr", "Sb"],
  "frac_coords": [[0.5000, 0.0000, 0.0000], [0.0000, 0.5000, 0.0000], [0.0000, 0.0000, 0.5000], [0.0000, 0.0000, 0.0000], [0.5000, 0.5000, 0.5000]]
}



{
  "formula": "RbNaF2",
  "functional": "PBE",
  "state": "relaxed",
  "relative_energy_mev_per_atom": 195,
  "final_energy_ev_per_atom": -3.9683,
  "dos_at_fermi_per_ev_atom": 0.00,
  "rho_g_cm3": 3.63,
  "raw_formation_energy_mev_per_atom": -2461,
  "cell": [[3.4799, -0.3718, 2.9200], [-0.3942, -2.6460, 3.6902], [2.3430, -3.9004, 0.2684]],
  "species": ["F", "F", "Na", "Rb"],
  "frac_coords": [[0.2500, 0.2500, 0.2500], [0.7500, 0.7500, 0.7500], [0.0000, 0.0000, 0.0000], [0.5000, 0.5000, 0.5000]]
}



{
  "formula": "Mg2ZrRh",
  "functional": "PBE",
  "state": "relaxed",
  "final_energy_ev_per_atom": -4.8783,
  "dos_at_fermi_per_ev_atom": 0.84,
  "rho_g_cm3": 5.34,
  "cell": [[-1.3852, 4.4912, 2.7464], [0.6569, -4.7227, 2.6261], [2.8504, 0.6263, 0.4135]],
  "species": ["Mg", "Mg", "Rh", "Zr"],
  "frac_coords": [[0.0000, 0.0000, 0.0000], [0.5000, 0.5000, 0.0000], [0.5000, 0.0000, 0.5000], [0.0000, 0.5000, 0.5000]]
}



{
  "formula": "La2Sm2DyTm4",
  "functional": "PBE",
  "state": "relaxed",
  "final_energy_ev_per_atom": -4.6377,
  "dos_at_fermi_per_ev_atom": 1.49,
  "rho_g_cm3": 8.03,
  "cell": [[3.6165, 0.0000, 0.0000], [-1.8082, 9.3543, -0.4798], [0.0000, -3.7256, 8.8479]],
  "species": ["La", "La", "Sm", "Sm", "Tm", "Tm", "Tm", "Tm", "Dy"],
  "frac_coords": [[0.3350, 0.6700, 0.9976], [0.6650, 0.3300, 0.0024], [0.8531, 0.7062, 0.3376], [0.1469, 0.2938, 0.6624], [0.1849, 0.3699, 0.3392], [0.5206, 0.0411, 0.3348], [0.4794, 0.9589, 0.6652], [0.8151, 0.6301, 0.6608], [0.0000, 0.0000, 0.0000]]
}



{
  "formula": "HfB3Rh",
  "functional": "PBE",
  "state": "relaxed",
  "relative_energy_mev_per_atom": 0,
  "final_energy_ev_per_atom": -6.7268,
  "dos_at_fermi_per_ev_atom": 0.92,
  "rho_g_cm3": 8.15,
  "cell": [[-3.3848, 0.2315, -2.1161], [2.0996, -0.2926, -3.3904], [-0.3511, -3.9811, 0.1261]],
  "species": ["Rh", "B", "B", "B", "Hf"],
  "frac_coords": [[0.0000, 0.0000, 0.0000], [0.0000, 0.0000, 0.5000], [0.0000, 0.5000, 0.0000], [0.5000, 0.0000, 0.0000], [0.5000, 0.5000, 0.5000]]
}